3
Lattice="0.000 3.733 3.733 3.733 0.000 3.733 3.733 3.733 0.000" Properties=species:S:1:pos:R:3 comment="PBE LaLuPb, relaxed" e_above_lowest_polymorph_ev_per_atom=0.0000 e_tot_ev_per_atom=-4.57 pbc="T T T"
La 0.000 0.000 0.000
Lu 3.733 3.733 3.733
Pb 1.866 1.866 1.866


9
Lattice="3.825 0.000 0.000 0.000 6.736 3.903 0.000 -6.736 3.903" Properties=species:S:1:pos:R:3 comment="PBE Gd2ErIn3Pt2Au, relaxed" e_tot_ev_per_atom=-5.07 pbc="T T T"
Gd 0.000 -3.987 3.903
Gd 0.000 3.987 3.903
Er 0.000 0.000 3.023
In 1.912 0.000 0.504
In 1.912 -1.802 5.160
In 1.912 1.802 5.160
Pt 1.912 -2.217 2.316
Pt 1.912 2.217 2.316
Au 0.000 0.000 6.203


12
Lattice="6.668 0.000 0.000 -1.508 7.348 0.000 -1.832 -3.232 7.607" Properties=species:S:1:pos:R:3 comment="PBE TaTe2S2I, relaxed" e_above_lowest_polymorph_ev_per_atom=0.0000 e_tot_ev_per_atom=-5.11 pbc="T T T"
Ta 0.160 7.347 0.000
Ta 5.001 0.001 0.000
Te -0.001 -0.036 2.340
Te -0.005 2.145 6.346
Te 3.333 1.971 1.261
Te 3.330 4.152 5.267
S -1.830 -1.424 7.096
S 1.502 -1.814 6.376
S 1.826 5.930 1.231
S 5.159 5.541 0.512
I -0.003 2.962 3.316
I 3.332 1.154 4.291


11
Lattice="6.318 0.000 0.000 0.000 3.833 0.000 -0.128 0.000 7.150" Properties=species:S:1:pos:R:3 comment="PBE Hf3Co4As4, relaxed" e_tot_ev_per_atom=-7.65 pbc="T T T"
Hf 0.000 0.000 0.000
Hf 0.198 1.916 4.456
Hf 3.293 1.916 3.440
Co 0.822 1.916 1.771
Co 2.120 0.000 5.314
Co 4.093 1.916 6.141
Co 5.402 0.000 2.640
As 1.517 0.000 2.843
As 1.827 1.916 6.756
As 4.574 0.000 4.921
As 4.780 1.916 1.263


6
Lattice="4.040 0.000 0.000 0.000 4.040 0.000 0.000 0.000 4.040" Properties=species:S:1:pos:R:3 comment="PBE TcN, relaxed" e_above_lowest_polymorph_ev_per_atom=0.0000 e_tot_ev_per_atom=-9.34 pbc="T T T"
Tc 0.000 0.000 2.020
Tc 0.000 2.020 0.000
Tc 2.020 0.000 0.000
N 0.000 2.020 2.020
N 2.020 0.000 2.020
N 2.020 2.020 0.000


20
Lattice="7.751 0.000 0.000 0.000 5.530 0.000 0.000 0.000 5.749" Properties=species:S:1:pos:R:3 comment="PBE TmSbN2O, relaxed" e_tot_ev_per_atom=-7.04 pbc="T T T"
Tm 0.000 1.310 0.000
Tm 0.000 4.221 2.875
Tm 3.875 1.410 5.039
Tm 3.875 4.120 2.164
Sb 1.903 1.312 2.544
Sb 1.903 4.218 5.418
Sb 5.847 1.312 2.544
Sb 5.847 4.218 5.418
N 0.000 2.088 2.198
N 0.000 3.442 5.073
N 1.531 0.410 4.351
N 1.531 5.120 1.477
N 3.875 0.794 2.804
N 3.875 4.737 5.679
N 6.220 0.410 4.351
N 6.220 5.120 1.477
O 2.431 2.448 0.786
O 2.431 3.082 3.661
O 5.320 2.448 0.786
O 5.320 3.082 3.661


16
Lattice="6.230 0.000 0.000 0.000 7.785 0.000 0.000 0.000 5.010" Properties=species:S:1:pos:R:3 comment="PBE OsPbNO, relaxed" e_above_lowest_polymorph_ev_per_atom=0.1155 e_tot_ev_per_atom=-6.89 pbc="T T T"
Os 1.024 1.128 0.000
Os 2.091 1.128 2.505
Os 4.139 6.657 0.000
Os 5.206 6.657 2.505
Pb 0.420 5.171 4.885
Pb 2.695 5.171 2.381
Pb 3.535 2.614 4.885
Pb 5.810 2.614 2.381
N 0.081 2.667 4.916
N 3.034 2.667 2.411
N 3.196 5.118 4.916
N 6.149 5.118 2.411
O 0.746 7.599 3.454
O 2.369 7.599 0.950
O 3.861 0.186 3.454
O 5.484 0.186 0.950


16
Lattice="4.973 0.000 0.000 0.000 7.156 0.000 0.000 0.000 4.923" Properties=species:S:1:pos:R:3 comment="PBE OsOF2, relaxed" e_above_lowest_polymorph_ev_per_atom=0.0816 e_tot_ev_per_atom=-6.17 pbc="T T T"
Os 0.056 1.160 0.000
Os 2.431 1.160 2.462
Os 2.543 5.996 0.000
Os 4.918 5.996 2.462
O 0.764 0.503 1.733
O 1.722 0.503 4.194
O 3.251 6.653 1.733
O 4.209 6.653 4.194
F 0.697 2.840 0.551
F 0.768 5.278 0.747
F 1.718 5.278 3.208
F 1.790 2.840 3.012
F 3.183 4.316 0.551
F 3.255 1.878 0.747
F 4.205 1.878 3.208
F 4.277 4.316 3.012


24
Lattice="4.572 -2.638 0.000 4.572 2.638 0.000 -3.181 0.000 13.066" Properties=species:S:1:pos:R:3 comment="PBE Sc2Ni3W4C3, relaxed" e_tot_ev_per_atom=-9.32 pbc="T T T"
Sc 2.235 2.205 8.120
Sc 2.138 2.205 11.479
Sc 3.826 -2.205 1.587
Sc 3.729 -2.205 4.946
Ni -0.167 0.828 9.827
Ni 1.424 -0.828 3.294
Ni 3.777 0.393 3.267
Ni 2.187 -0.393 9.800
Ni 4.540 0.828 9.772
Ni 6.130 -0.828 3.239
W 2.227 0.417 1.122
W 2.237 0.507 5.409
W 0.636 -0.417 7.655
W 0.646 -0.507 11.942
W 5.317 0.507 1.124
W 5.328 0.417 5.411
W 3.727 -0.507 7.657
W 3.737 -0.417 11.944
C 0.696 1.319 6.533
C 0.632 1.326 13.064
C 3.741 1.326 6.535
C 2.286 -1.319 0.000
C 2.223 -1.326 6.531
C 5.332 -1.326 0.002


4
Lattice="3.381 0.000 0.000 0.000 3.381 0.000 0.000 0.000 6.907" Properties=species:S:1:pos:R:3 comment="PBE Sc2InTc, relaxed" e_tot_ev_per_atom=-6.83 pbc="T T T"
Sc 0.000 0.000 1.474
Sc 0.000 0.000 5.433
In 1.691 1.691 3.454
Tc 1.691 1.691 0.000


10
Lattice="4.321 0.000 0.000 0.000 4.321 0.000 0.000 0.000 10.419" Properties=species:S:1:pos:R:3 comment="PBE LaGa2NiAg, relaxed" e_tot_ev_per_atom=-4.39 pbc="T T T"
La 1.080 1.080 2.413
La 3.241 3.241 8.006
Ga 1.080 1.080 6.848
Ga 1.080 3.241 0.000
Ga 3.241 1.080 0.000
Ga 3.241 3.241 3.571
Ni 1.080 1.080 9.218
Ni 3.241 3.241 1.200
Ag 1.080 3.241 5.209
Ag 3.241 1.080 5.209


5
Lattice="-1.727 1.727 5.402 1.727 -1.727 5.402 1.727 1.727 -5.402" Properties=species:S:1:pos:R:3 comment="PBE TmScBC2, relaxed" e_tot_ev_per_atom=-7.70 pbc="T T T"
Tm 0.000 0.000 0.000
Sc 0.000 0.000 7.540
B 0.000 0.000 3.816
C 0.000 0.000 2.330
C 0.000 0.000 5.305


9
Lattice="4.027 0.000 0.000 0.000 6.963 4.024 0.000 -6.963 4.024" Properties=species:S:1:pos:R:3 comment="PBE LaPr2Cd3AgAu2, relaxed" formation_enthalpy_0k_ev_per_atom=-0.579 e_tot_ev_per_atom=-3.52 pbc="T T T"
La 0.000 0.000 0.000
Pr 0.000 -2.851 3.089
Pr 0.000 2.851 3.089
Cd 2.013 0.000 2.710
Cd 2.013 -1.789 5.763
Cd 2.013 1.789 5.763
Ag 0.000 0.000 4.747
Au 2.013 -4.641 4.745
Au 2.013 4.641 4.745


8
Lattice="2.030 1.172 11.984 -2.030 1.172 11.984 0.000 -2.344 11.984" Properties=species:S:1:pos:R:3 comment="PBE GdBeSeO, relaxed" e_tot_ev_per_atom=-5.65 pbc="T T T"
Gd 0.000 0.000 8.984
Gd 0.000 0.000 26.969
Be 0.000 0.000 5.295
Be 0.000 0.000 30.658
Se 0.000 0.000 13.557
Se 0.000 0.000 22.396
O 0.000 0.000 6.780
O 0.000 0.000 29.173


6
Lattice="4.088 0.000 0.000 -2.044 3.540 0.000 0.000 0.000 9.942" Properties=species:S:1:pos:R:3 comment="PBE Pr3As2O, relaxed" e_tot_ev_per_atom=-6.56 pbc="T T T"
Pr 0.000 0.000 0.000
Pr 0.000 2.360 3.595
Pr 2.044 1.180 6.347
As 0.000 2.360 8.109
As 2.044 1.180 1.833
O 0.000 0.000 4.971


10
Lattice="8.887 -1.906 0.000 8.887 1.906 0.000 -1.814 0.000 7.899" Properties=species:S:1:pos:R:3 comment="PBE Y2Ho2CBr5, relaxed" e_tot_ev_per_atom=-5.40 pbc="T T T"
Y -0.525 0.000 2.356
Y 16.485 0.000 5.543
Ho 5.664 0.000 3.385
Ho 10.297 0.000 4.514
C 7.980 0.000 3.949
Br 1.408 0.000 6.623
Br 2.434 0.000 2.608
Br 8.887 0.000 0.000
Br 13.527 0.000 5.291
Br 14.553 0.000 1.276


10
Lattice="4.120 0.000 0.000 0.000 4.120 0.000 0.000 0.000 7.646" Properties=species:S:1:pos:R:3 comment="PBE Sr2Pt2NO5, relaxed" e_tot_ev_per_atom=-5.86 pbc="T T T"
Sr 0.000 0.000 0.000
Sr 0.000 0.000 3.823
Pt 2.060 2.060 1.848
Pt 2.060 2.060 5.797
N 2.060 2.060 0.000
O 0.000 2.060 2.031
O 0.000 2.060 5.615
O 2.060 0.000 2.031
O 2.060 0.000 5.615
O 2.060 2.060 3.823


3
Lattice="0.000 3.292 3.292 3.292 0.000 3.292 3.292 3.292 0.000" Properties=species:S:1:pos:R:3 comment="PBE SmZrIr, relaxed" e_above_lowest_polymorph_ev_per_atom=1.1932 formation_enthalpy_0k_ev_per_atom=0.534 e_tot_ev_per_atom=-6.84 pbc="T T T"
Sm 0.000 0.000 0.000
Zr 1.646 1.646 1.646
Ir 4.938 4.938 4.938


3
Lattice="0.000 4.012 4.012 4.012 0.000 4.012 4.012 4.012 0.000" Properties=species:S:1:pos:R:3 comment="PBE AcTbTh, relaxed" e_above_lowest_polymorph_ev_per_atom=0.0000 formation_enthalpy_0k_ev_per_atom=0.820 e_tot_ev_per_atom=-4.56 pbc="T T T"
Ac 0.000 0.000 0.000
Tb 4.012 4.012 4.012
Th 2.006 2.006 2.006


12
Lattice="2.096 -7.981 0.000 2.096 7.981 0.000 0.000 0.000 11.246" Properties=species:S:1:pos:R:3 comment="PBE YTlCoTe3, relaxed" e_above_lowest_polymorph_ev_per_atom=0.0000 e_tot_ev_per_atom=-4.84 pbc="T T T"
Y 0.000 0.000 0.000
Y 0.000 0.000 5.623
Tl 2.096 4.059 8.434
Tl 2.096 -4.059 2.811
Co 2.096 0.405 2.811
Co 2.096 -0.405 8.434
Te 2.096 6.808 2.811
Te 2.096 2.067 0.835
Te 2.096 2.067 4.788
Te 2.096 -2.067 6.457
Te 2.096 -2.067 10.411
Te 2.096 -6.808 8.434


9
Lattice="9.830 -1.986 0.000 9.830 1.986 0.000 -0.223 0.000 5.266" Properties=species:S:1:pos:R:3 comment="PBE Te4Ir3Se2, relaxed" e_above_lowest_polymorph_ev_per_atom=0.0000 e_tot_ev_per_atom=-5.44 pbc="T T T"
Te 0.846 0.000 1.172
Te 5.337 0.000 3.988
Te 14.100 0.000 1.278
Te 18.591 0.000 4.093
Ir 2.906 0.000 5.195
Ir 9.718 0.000 2.633
Ir 16.530 0.000 0.071
Se 7.417 0.000 1.505
Se 12.020 0.000 3.761


8
Lattice="4.756 0.000 0.000 -2.378 4.119 0.000 0.000 0.000 9.253" Properties=species:S:1:pos:R:3 comment="PBE LaTlPdPt, relaxed" e_above_lowest_polymorph_ev_per_atom=0.0034 e_tot_ev_per_atom=-5.34 pbc="T T T"
La 0.000 0.000 0.000
La 0.000 2.746 4.627
Tl 2.378 1.373 2.301
Tl 2.378 1.373 6.952
Pd 0.000 2.746 1.475
Pd 0.000 2.746 7.778
Pt 0.000 0.000 3.105
Pt 0.000 0.000 6.148


8
Lattice="6.978 0.000 0.000 0.000 2.054 5.122 0.000 -2.054 5.122" Properties=species:S:1:pos:R:3 comment="PBE LaLuAl4Ni2, relaxed" e_tot_ev_per_atom=-5.03 pbc="T T T"
La 0.000 0.000 0.000
Lu 3.489 0.000 9.007
Al 1.414 0.000 2.903
Al 2.180 0.000 6.150
Al 4.798 0.000 6.150
Al 5.564 0.000 2.903
Ni 0.000 0.000 7.412
Ni 3.489 0.000 1.594